! TeBrN2, relaxed, DFT PBE; values from VASP
! crystal system	triclinic
! ΔE_f (raw)	-4	meV per atom
! offset from the most stable computed form	0.0	meV per atom
! final energy	-5.371	eV per atom
! total moment	0.00	μB per formula unit
&SYSTEM
  ibrav = 0, nat = 8, ntyp = 3
/
ATOMIC_SPECIES
Te 127.60 Te.upf
Br 79.90 Br.upf
N 14.01 N.upf
CELL_PARAMETERS angstrom
3.928 0.000 0.000
0.028 6.164 0.000
1.924 -0.002 12.529
ATOMIC_POSITIONS angstrom
Te 0.000 0.000 0.000
Te 0.014 3.082 0.000
Br 1.938 1.539 10.221
Br 3.942 4.623 2.307
N 1.662 4.149 7.463
N 2.252 5.094 7.460
N 3.629 1.068 5.069
N 4.218 2.013 5.066